Here is crystalline Tb3NiGe2 at its relaxed geometry from OQMD. Energies are from PBE-GGA.

## Properties
DFT total energy = -5.576 eV per atom
total magnetic moment = 1.7 Bohr magnetons per cell

Unit cell a=11.448 b=4.201 c=11.312 alpha=90.00 beta=90.00 gamma=90.00
Space group Pnma (No. 62)
Unique sites:
Tb: 0.056 0.250 0.128 (multiplicity 4)
Tb: 0.119 0.750 0.559 (multiplicity 4)
Tb: 0.219 0.250 0.805 (multiplicity 4)
Ni: 0.128 0.250 0.369 (multiplicity 4)
Ge: 0.019 0.750 0.313 (multiplicity 4)
Ge: 0.193 0.750 0.999 (multiplicity 4)

Here is crystalline LiPaNb at its relaxed geometry from OQMD. Energies are from PBE-GGA.

## Properties
DFT total energy = -6.305 eV per atom
offset from the most stable computed form = 0.0 meV per atom
total magnetic moment = 0.0 Bohr magnetons per cell

Unit cell a=6.283 b=6.283 c=6.283 alpha=90.00 beta=90.00 gamma=90.00
Space group F-43m (No. 216)
Unique sites:
Li: 0.000 0.000 0.000 (multiplicity 4)
Pa: 0.000 0.000 0.500 (multiplicity 4)
Nb: 0.250 0.250 0.250 (multiplicity 4)

Here is crystalline TaFeNiB at its relaxed geometry from OQMD. Energies are from PBE-GGA.

## Properties
DFT total energy = -7.914 eV per atom
offset from the most stable computed form = 75.0 meV per atom
total magnetic moment = 8.0 Bohr magnetons per cell

Unit cell a=5.720 b=5.720 c=5.720 alpha=90.00 beta=90.00 gamma=90.00
Space group F-43m (No. 216)
Unique sites:
Ta: 0.000 0.000 0.000 (multiplicity 4)
Fe: 0.250 0.250 0.250 (multiplicity 4)
Ni: 0.000 0.000 0.500 (multiplicity 4)
B: 0.250 0.250 0.750 (multiplicity 4)